(1)
Entry from Alexandria: CoPdPt after structural relaxation (PBE).

## Properties
For the calculated density, the calculation gives 14.1 Mg/m³. The total magnetization comes out at 5.49 μB per cell. For the distance to the lowest polymorph of the same formula, the calculation gives 9.2 kJ/mol of formula units. For the volume, the calculation gives 14.20 Å³/atom. As for the energy of formation from the pure elements: -40 meV/atom.

```
CoPdPt
1.0
3.838 0.000 0.000
0.000 5.359 -1.107
-1.919 -3.138 4.790
Co Pt Pd
2 2 2
Direct
0.663 0.245 0.326
0.337 0.755 0.674
0.990 0.744 0.979
0.010 0.256 0.021
0.327 0.249 0.655
0.673 0.751 0.345
```

***

(2)
Entry from Alexandria: Y2TiAs after structural relaxation (PBE).

## Properties
For the calculated density, the calculation gives 5.0 Mg/m³. The total magnetization comes out at 1.88 μB per cell. For the distance to the lowest polymorph of the same formula, the calculation gives 51.2 kJ/mol of formula units. For the volume, the calculation gives 25.05 Å³/atom. As for the energy of formation from the pure elements: -61 meV/atom.

```
Y2TiAs
1.0
-7.192 3.603 2.080
-2.628 -7.154 3.309
-3.783 -1.004 5.256
Y As Ti
4 2 2
Direct
0.668 0.125 0.250
0.375 0.332 0.750
0.082 0.625 0.250
0.875 0.918 0.750
0.750 0.250 0.500
0.000 0.000 0.000
0.500 0.500 0.000
0.250 0.750 0.500
```

***

(3)
Entry from Alexandria: ZrTlIr2 after structural relaxation (PBE).

## Properties
For the calculated density, the calculation gives 14.5 Mg/m³. The total magnetization comes out at 0.00 μB per cell. For the volume, the calculation gives 19.44 Å³/atom. As for the energy of formation from the pure elements: -148 meV/atom.

```
ZrTlIr2
1.0
4.198 0.000 0.000
0.000 3.678 -0.009
0.000 1.862 5.033
Ir Tl Zr
2 1 1
Direct
0.000 0.210 0.957
0.500 0.050 0.275
0.000 0.477 0.421
0.500 0.764 0.847
```

***

(4)
Entry from Alexandria: ReHg3Ge after structural relaxation (PBE).

## Properties
For the calculated density, the calculation gives 10.1 Mg/m³. The total magnetization comes out at 4.34 μB per cell. For the distance to the lowest polymorph of the same formula, the calculation gives 141.6 kJ/mol of formula units. For the volume, the calculation gives 28.20 Å³/atom. As for the energy of formation from the pure elements: 1454 meV/atom.

```
ReHg3Ge
1.0
-2.029 -3.388 -3.391
3.208 -3.695 1.773
-3.561 -1.399 3.529
Hg Re Ge
3 1 1
Direct
0.000 0.500 0.000
0.500 0.000 0.000
0.000 0.000 0.500
0.500 0.500 0.500
0.000 0.000 0.000
```

***

(5)
Entry from Alexandria: YCl2F after structural relaxation (PBE).

## Properties
For the calculated density, the calculation gives 2.8 Mg/m³. The total magnetization comes out at 0.03 μB per cell. For the distance to the lowest polymorph of the same formula, the calculation gives 445.9 kJ/mol of formula units. For the volume, the calculation gives 26.35 Å³/atom. The value obtained for the energy relative to the elements, uncorrected is -6.92 eV per formula unit.

```
YCl2F
1.0
-6.669 0.931 3.748
-4.540 -1.725 5.984
-3.800 2.266 6.310
Cl Y F
2 1 1
Direct
0.894 0.894 0.894
0.106 0.106 0.106
0.500 0.500 0.500
0.000 0.000 0.000
```

***

(6)
Entry from Alexandria: LiTmPuGe after structural relaxation (PBE).

## Properties
For the calculated density, the calculation gives 9.2 Mg/m³. The total magnetization comes out at 6.29 μB per cell. For the volume, the calculation gives 22.30 Å³/atom. As for the energy of formation from the pure elements: -224 meV/atom.

```
LiTmPuGe
1.0
-3.813 -2.913 -1.461
-1.027 -4.227 2.497
-4.141 -0.308 2.812
Ge Pu Tm Li
1 1 1 1
Direct
0.250 0.250 0.250
0.000 0.000 0.000
0.500 0.500 0.500
0.750 0.750 0.750
```

***

(7)
Entry from Alexandria: CeH2Au2 after structural relaxation (PBE).

## Properties
For the calculated density, the calculation gives 11.3 Mg/m³. The total magnetization comes out at 0.12 μB per cell. The value obtained for the total DFT energy (no corrections) is -4.117 eV per atom. For the volume, the calculation gives 15.82 Å³/atom.

```
CeH2Au2
1.0
5.920 1.824 3.804
3.699 4.964 3.813
2.425 1.702 5.412
Ce H Au
1 2 2
Direct
0.000 0.000 0.000
0.333 0.333 0.258
0.667 0.667 0.742
0.333 0.333 0.692
0.667 0.667 0.308
```

***

(8)
Entry from Alexandria: RbNaZnF4 after structural relaxation (PBE).

## Properties
For the calculated density, the calculation gives 3.2 Mg/m³. The total magnetization comes out at 0.00 μB per cell. For the volume, the calculation gives 18.46 Å³/atom. The value obtained for the energy relative to the elements, uncorrected is -17.74 eV per formula unit.

```
RbNaZnF4
1.0
6.079 0.000 0.068
0.000 6.000 0.000
-2.304 0.000 7.059
F Na Zn Rb
8 2 2 2
Direct
0.963 0.018 0.698
0.493 0.250 0.420
0.446 0.750 0.166
0.554 0.250 0.834
0.037 0.982 0.302
0.037 0.518 0.302
0.963 0.482 0.698
0.507 0.750 0.580
0.179 0.250 0.537
0.821 0.750 0.463
0.728 0.250 0.657
0.272 0.750 0.343
0.263 0.250 0.052
0.737 0.750 0.948
```

***

(9)
Entry from Alexandria: TcOsNF2 after structural relaxation (PBE).

## Properties
For the calculated density, the calculation gives 8.0 Mg/m³. The total magnetization comes out at 4.46 μB per cell. For the distance to the lowest polymorph of the same formula, the calculation gives 0.0 kJ/mol of formula units. For the volume, the calculation gives 14.17 Å³/atom. The value obtained for the energy relative to the elements, uncorrected is 2.00 eV per formula unit.

```
TcOsNF2
1.0
4.343 0.000 0.000
0.000 4.343 0.000
0.000 0.000 3.756
F N Os Tc
2 1 1 1
Direct
0.500 0.000 0.000
0.000 0.500 0.000
0.000 0.000 0.500
0.000 0.000 0.000
0.500 0.500 0.500
```

***

(10)
Entry from Alexandria: RbLiHg2Cl6 after structural relaxation (PBE).

## Properties
For the calculated density, the calculation gives 3.6 Mg/m³. The total magnetization comes out at 0.00 μB per cell. For the volume, the calculation gives 32.49 Å³/atom. The value obtained for the energy relative to the elements, uncorrected is -11.06 eV per formula unit.

```
RbLiHg2Cl6
1.0
6.525 -0.029 -0.327
-3.288 6.366 0.172
-3.627 -2.087 8.020
Li Hg Rb Cl
1 2 1 6
Direct
0.996 0.995 0.978
0.633 0.290 0.951
0.360 0.706 0.011
0.996 0.498 0.480
0.091 0.377 0.161
0.443 0.073 0.180
0.903 0.621 0.800
0.551 0.923 0.781
0.798 0.745 0.172
0.195 0.250 0.789
```

***

(11)
Entry from Alexandria: Nd5Sn2Ru after structural relaxation (PBE).

## Properties
For the calculated density, the calculation gives 7.3 Mg/m³. The total magnetization comes out at 0.00 μB per cell. For the distance to the lowest polymorph of the same formula, the calculation gives 0.0 kJ/mol of formula units. For the volume, the calculation gives 30.04 Å³/atom. As for the energy of formation from the pure elements: -554 meV/atom.

```
Nd5Sn2Ru
1.0
4.704 0.000 0.000
0.000 8.186 0.000
0.000 0.000 12.484
Nd Sn Ru
10 4 2
Direct
0.000 0.633 0.702
0.000 0.133 0.798
0.500 0.812 0.933
0.500 0.312 0.567
0.500 0.688 0.433
0.000 0.500 0.000
0.000 0.867 0.202
0.500 0.188 0.067
0.000 0.367 0.298
0.000 0.000 0.500
0.500 0.079 0.329
0.500 0.921 0.671
0.500 0.421 0.829
0.500 0.579 0.171
0.000 0.500 0.500
0.000 0.000 0.000
```

***

(12)
Entry from Alexandria: AcNd2Mg9 after structural relaxation (PBE).

## Properties
For the calculated density, the calculation gives 3.7 Mg/m³. The total magnetization comes out at 0.00 μB per cell. For the volume, the calculation gives 27.38 Å³/atom. As for the energy of formation from the pure elements: -89 meV/atom.

```
AcNd2Mg9
1.0
6.162 0.000 0.000
3.081 5.337 0.000
3.081 1.779 9.991
Mg Ac Nd
9 1 2
Direct
0.081 0.586 0.747
0.334 0.334 0.997
0.500 0.500 0.500
0.414 0.919 0.253
0.586 0.586 0.747
0.919 0.414 0.253
0.414 0.414 0.253
0.586 0.081 0.747
0.666 0.666 0.003
0.000 0.000 0.000
0.145 0.145 0.564
0.855 0.855 0.436
```

***

(13)
Entry from Alexandria: CuBiPd2 after structural relaxation (PBE).

## Properties
For the calculated density, the calculation gives 11.6 Mg/m³. The total magnetization comes out at 0.00 μB per cell. For the volume, the calculation gives 17.32 Å³/atom. As for the energy of formation from the pure elements: -98 meV/atom.

```
CuBiPd2
1.0
4.058 0.000 0.000
0.000 4.132 0.000
0.000 0.000 4.132
Pd Cu Bi
2 1 1
Direct
0.000 0.000 0.500
0.000 0.500 0.000
0.500 0.000 0.000
0.500 0.500 0.500
```

***

(14)
Entry from Alexandria: Cs2Pd2Cl7 after structural relaxation (PBE).

## Properties
For the calculated density, the calculation gives 3.4 Mg/m³. The total magnetization comes out at 0.00 μB per cell. For the volume, the calculation gives 31.82 Å³/atom. The value obtained for the energy relative to the elements, uncorrected is -10.87 eV per formula unit.

```
Cs2Pd2Cl7
1.0
-3.230 1.856 -2.776
-5.680 -6.927 2.050
-0.350 7.406 5.430
Pd Cs Cl
2 2 7
Direct
0.993 0.742 0.742
0.007 0.258 0.258
0.500 0.226 0.774
0.500 0.774 0.226
0.492 0.685 0.685
0.508 0.315 0.315
0.994 0.584 0.883
0.994 0.883 0.584
0.006 0.117 0.416
0.006 0.416 0.117
0.000 0.000 0.000
```

***

(15)
Entry from Alexandria: Na4Hg5Pd after structural relaxation (PBE).

## Properties
For the calculated density, the calculation gives 7.3 Mg/m³. The total magnetization comes out at 0.00 μB per cell. For the distance to the lowest polymorph of the same formula, the calculation gives 8.5 kJ/mol of formula units. For the volume, the calculation gives 27.23 Å³/atom. As for the energy of formation from the pure elements: -206 meV/atom.

```
Na4Hg5Pd
1.0
5.077 0.000 1.801
2.539 7.109 0.901
0.162 0.000 7.601
Hg Na Pd
5 4 1
Direct
0.166 0.622 0.000
0.788 0.378 0.000
0.166 0.000 0.622
0.660 0.000 0.000
0.788 0.000 0.378
0.153 0.286 0.286
0.439 0.286 0.714
0.726 0.714 0.714
0.439 0.714 0.286
0.166 0.000 0.000
```

***

(16)
Entry from Alexandria: Ca2CuSbN after structural relaxation (PBE).

## Properties
For the calculated density, the calculation gives 4.6 Mg/m³. The total magnetization comes out at 0.00 μB per cell. For the volume, the calculation gives 20.30 Å³/atom. The value obtained for the energy relative to the elements, uncorrected is -3.11 eV per formula unit.

```
Ca2CuSbN
1.0
-1.305 -4.389 2.490
2.571 1.635 4.229
-3.113 1.640 1.259
N Ca Sb Cu
1 2 1 1
Direct
0.000 0.000 0.000
0.000 0.500 0.000
0.500 0.000 0.000
0.500 0.500 0.500
0.000 0.000 0.500
```

***

(17)
Entry from Alexandria: GdNi3 after structural relaxation (PBE).

## Properties
For the calculated density, the calculation gives 9.2 Mg/m³. The total magnetization comes out at 8.30 μB per cell. For the volume, the calculation gives 15.02 Å³/atom. As for the energy of formation from the pure elements: -40 meV/atom.

```
GdNi3
1.0
5.427 0.000 0.000
2.714 4.700 0.000
2.714 1.567 7.065
Ni Gd
9 3
Direct
0.070 0.529 0.330
0.471 0.930 0.670
0.930 0.471 0.670
0.500 0.000 0.000
0.529 0.070 0.330
0.930 0.930 0.670
0.000 0.500 0.000
0.070 0.070 0.330
0.500 0.500 0.000
0.432 0.432 0.703
0.568 0.568 0.297
0.000 0.000 0.000
```